The following is a DFT calculation (PBE-GGA) of a relaxed TaNbNi2 crystal.

a = 3.0710 Å, b = 3.0710 Å, c = 6.2866 Å
α = 90.00°, β = 90.00°, γ = 90.00°
Last column: nearest neighbours and their distance in Å.
Positions (direct):
Ni  0.0000  0.0000  0.7833  4 Ta 2.56, 1 Ni 2.72, 4 Nb 2.81
Ni  0.0000  0.0000  0.2167  4 Ta 2.56, 1 Ni 2.72, 4 Nb 2.81
Nb  0.5000  0.5000  0.5000  8 Ni 2.81, 4 Nb 3.07, 2 Ta 3.14
Ta  0.5000  0.5000  0.0000  8 Ni 2.56

Properties
excess energy over the best structure of this formula in the dataset	0.079	eV/atom
calculated density	11.0	g/cm³
ΔE_f	-0.343	eV/f.u.
space group	P4/mmm (123)
calculated volume	14.8	A^3/atom
total energy	-8.457	eV per atom